Here is K8AsP2 after structural relaxation from Alexandria via LeMat-Bulk. Energies are from PBE-GGA.

It has space group Immm (No. 71), with a = 5.506 Å, b = 8.325 Å, c = 16.510 Å, α = 90.00°, β = 90.00° and γ = 90.00°. The inequivalent atoms are K at (0.000, 0.000, 0.164), K at (0.000, 0.227, 0.343), K at (0.000, 0.289, 0.000), As at (0.000, 0.500, 0.500) and P at (0.000, 0.500, 0.183).

As for the density: 2.0 g/cm³. For the total magnetization, the calculation gives 2.44 μB/cell. Its electronic total energy is -2.42 eV per atom.